Record 1
{"formula": "TcC5O5", "functional": "PBE", "state": "optimized geometry", "cell": [[8.5662, -3.3758, 0.0000], [8.5662, 3.3758, 0.0000], [-8.4897, 0.0000, 11.2569]], "species": ["O", "O", "C", "C", "C", "C", "Tc", "O", "C", "C", "C", "C", "O", "O", "C", "C", "O", "Tc", "C", "O", "C", "O", "Tc", "O", "O", "O", "O", "C", "O", "O", "O", "O", "C", "C", "Tc", "O", "O", "C", "C", "O", "C", "C", "C", "O"], "fractional_positions": [[0.2015, 0.2100, 0.1918], [0.9422, 0.1245, 0.6628], [0.8107, 0.3060, 0.7035], [0.0941, 0.6465, 0.6437], [0.5465, 0.7495, 0.4334], [0.3535, 0.9059, 0.8563], [0.5851, 0.6153, 0.7777], [0.9256, 0.7725, 0.5914], [0.6940, 0.1893, 0.7965], [0.9059, 0.3535, 0.3563], [0.3060, 0.8107, 0.2035], [0.6157, 0.3303, 0.3807], [0.6992, 0.2661, 0.0265], [0.3008, 0.7339, 0.9735], [0.4535, 0.2505, 0.5666], [0.7183, 0.7256, 0.7984], [0.2661, 0.6992, 0.5265], [0.6153, 0.5851, 0.2777], [0.6465, 0.0941, 0.1437], [0.0578, 0.8755, 0.3372], [0.7256, 0.7183, 0.2984], [0.2275, 0.0744, 0.9086], [0.3847, 0.4149, 0.7223], [0.8354, 0.5124, 0.0251], [0.7900, 0.7985, 0.3082], [0.1245, 0.9422, 0.1628], [0.2100, 0.2015, 0.6918], [0.6697, 0.3843, 0.1193], [0.1646, 0.4876, 0.9749], [0.8755, 0.0578, 0.8372], [0.7985, 0.7900, 0.8082], [0.7725, 0.9256, 0.0914], [0.3843, 0.6697, 0.6192], [0.2505, 0.4535, 0.0666], [0.4149, 0.3847, 0.2223], [0.4876, 0.1646, 0.4749], [0.5124, 0.8354, 0.5251], [0.1893, 0.6940, 0.2965], [0.7495, 0.5465, 0.9334], [0.7339, 0.3008, 0.4735], [0.2744, 0.2817, 0.7016], [0.2817, 0.2744, 0.2016], [0.3303, 0.6157, 0.8807], [0.0744, 0.2275, 0.4086]], "final_energy_ev_per_atom": -8.066, "space_group": "No. 15"}

---

Record 2
{"formula": "ZrC6O5", "functional": "PBE", "state": "optimized geometry", "cell": [[7.1338, -5.8330, 0.0000], [7.1338, 5.8330, 0.0000], [-3.1719, 0.0000, 7.1842]], "species": ["C", "C", "O", "C", "O", "C", "C", "O", "C", "C", "C", "O", "C", "O", "C", "C", "C", "Zr", "O", "C", "O", "C", "C", "O", "C", "O", "O", "O", "O", "C", "C", "O", "O", "Zr", "O", "C", "C", "Zr", "C", "O", "O", "Zr", "O", "C", "O", "O", "C", "C"], "fractional_positions": [[0.3860, 0.1620, 0.8601], [0.4170, 0.5652, 0.7752], [0.3140, 0.1556, 0.9725], [0.2589, 0.5161, 0.4449], [0.2332, 0.8521, 0.8433], [0.5652, 0.4170, 0.2752], [0.7105, 0.5424, 0.6200], [0.8521, 0.2332, 0.3433], [0.5339, 0.3339, 0.8370], [0.1914, 0.7482, 0.6958], [0.7482, 0.1914, 0.1958], [0.7454, 0.7676, 0.0510], [0.6396, 0.4448, 0.4709], [0.9158, 0.6785, 0.8123], [0.5424, 0.7105, 0.1200], [0.4448, 0.6396, 0.9709], [0.6048, 0.2945, 0.1441], [0.8800, 0.9334, 0.5427], [0.7521, 0.0621, 0.0712], [0.2800, 0.7742, 0.2081], [0.8848, 0.3056, 0.8559], [0.5354, 0.4310, 0.7464], [0.1620, 0.3860, 0.3601], [0.3484, 0.1072, 0.6847], [0.7742, 0.2800, 0.7081], [0.0519, 0.0917, 0.6611], [0.0917, 0.0519, 0.1611], [0.9813, 0.9190, 0.3325], [0.1505, 0.7394, 0.0992], [0.2945, 0.6048, 0.6441], [0.6626, 0.4137, 0.6582], [0.3056, 0.8848, 0.3559], [0.9190, 0.9813, 0.8325], [0.9334, 0.8800, 0.0427], [0.1556, 0.3140, 0.4725], [0.5161, 0.2589, 0.9449], [0.3339, 0.5339, 0.3370], [0.0777, 0.1384, 0.9464], [0.8038, 0.6643, 0.6663], [0.1072, 0.3484, 0.1847], [0.6785, 0.9158, 0.3123], [0.1384, 0.0777, 0.4464], [0.7676, 0.7454, 0.5510], [0.4310, 0.5354, 0.2464], [0.0621, 0.7521, 0.5712], [0.7394, 0.1505, 0.5992], [0.4137, 0.6626, 0.1582], [0.6643, 0.8038, 0.1663]], "final_energy_ev_per_atom": -8.365, "space_group": "No. 9"}